{
  "formula": "TiPt3S",
  "functional": "PBE",
  "state": "optimized geometry",
  "dft_energy_ev_per_atom": -5.100,
  "e_form_raw_ev_per_atom": 0.93,
  "volume_a3_per_cell": 103.8,
  "lattice": [[4.6991, 0.0000, 0.0000], [0.0000, 4.6991, 0.0000], [0.0000, 0.0000, 4.6991]],
  "species": ["S", "Pt", "Pt", "Pt", "Ti"],
  "fractional_positions": [[0.5000, 0.5000, 0.5000], [0.0000, 0.5000, 0.0000], [0.0000, 0.0000, 0.5000], [0.5000, 0.0000, 0.0000], [0.0000, 0.0000, 0.0000]]
}